DyInNi (PBE-GGA, optimized geometry); spin magnetization = 0.000 μB/f.u.; energy of formation from the pure elements = -0.35 eV per atom
1.0
6.4622 0.0000 0.0000
0.0000 6.4622 0.0000
0.0000 0.0000 6.4622
Dy In Ni
4 4 4
Cartesian
0.0000 0.0000 0.0000
0.0000 3.2311 3.2311
3.2311 0.0000 3.2311
3.2311 3.2311 0.0000
0.0000 0.0000 3.2311
0.0000 3.2311 0.0000
3.2311 0.0000 0.0000
3.2311 3.2311 3.2311
1.6156 1.6156 1.6156
1.6156 4.8467 4.8467
4.8467 1.6156 4.8467
4.8467 4.8467 1.6156